No. 1
Entry from the Alexandria database: Tl3SbH3 after structural relaxation (PBE-GGA).

Unit cell a=7.2866 b=7.2866 c=19.2812 alpha=90.00 beta=90.00 gamma=120.00
Space group R-3m (No. 166, hexagonal axes)
Symmetry-distinct sites (fractional):
Tl (0.0071, 0.5036, 0.2636) x18
Sb (0.0000, 0.0000, 0.2473) x6
H (0.1012, 0.5506, 0.8549) x18

## Properties
total magnetization	0.00	μB per cell
crystal system	trigonal
raw total energy	-2.754	eV per atom



No. 2
Entry from the Alexandria database: TlSbH4 after structural relaxation (PBE-GGA).

Unit cell a=4.397 b=7.084 c=7.275 alpha=101.05 beta=101.73 gamma=103.38
Space group P-1 (No. 2)
Symmetry-distinct sites (fractional):
Tl (0.101, 0.297, 0.355) x2
Sb (0.426, 0.235, 0.793) x2
H (0.239, 0.565, 0.073) x2
H (0.286, 0.612, 0.487) x2
H (0.334, 0.926, 0.237) x2
H (0.359, 0.172, 0.006) x2

## Properties
total magnetization	0.00	μB per cell
crystal system	triclinic
raw total energy	-3.021	eV per atom



No. 3
Entry from the Alexandria database: Tl4SbH2 after structural relaxation (PBE-GGA).

Unit cell a=4.850 b=5.519 c=7.084 alpha=90.00 beta=109.86 gamma=90.00
Space group P2/m (No. 10)
Symmetry-distinct sites (fractional):
Tl (0.146, 0.000, 0.277) x2
Tl (0.342, 0.500, 0.685) x2
Sb (0.000, 0.500, 0.000) x1
H (0.314, 0.000, 0.617) x2

## Properties
total magnetization	0.00	μB per cell
crystal system	monoclinic
raw total energy	-2.677	eV per atom



No. 4
Entry from the Alexandria database: TlSbH after structural relaxation (PBE-GGA).

Unit cell a=3.275 b=3.333 c=7.533 alpha=82.79 beta=88.22 gamma=61.33
Space group P1 (No. 1)
Symmetry-distinct sites (fractional):
Tl (0.000, 0.000, 0.000) x1
Sb (0.021, 0.763, 0.557) x1
H (0.997, 0.861, 0.315) x1

## Properties
total magnetization	0.00	μB per cell
offset from the most stable computed form	0.11	eV per formula unit
crystal system	triclinic
raw total energy	-3.043	eV per atom



No. 5
Entry from the Alexandria database: TlSbH after structural relaxation (PBE-GGA).

Unit cell a=4.485 b=4.437 c=7.579 alpha=90.00 beta=103.18 gamma=90.00
Space group Cm (No. 8)
Symmetry-distinct sites (fractional):
Tl (0.000, 0.000, 0.000) x2
Sb (0.255, 0.500, 0.437) x2
H (0.360, 0.500, 0.683) x2

## Properties
total magnetization	0.00	μB per cell
offset from the most stable computed form	0.05	eV per formula unit
crystal system	monoclinic
raw total energy	-3.064	eV per atom



No. 6
Entry from the Alexandria database: TlSbH after structural relaxation (PBE-GGA).

Unit cell a=3.378 b=5.267 c=4.353 alpha=90.00 beta=112.93 gamma=90.00
Space group Pm (No. 6)
Symmetry-distinct sites (fractional):
Tl (0.000, 0.000, 0.000) x1
Sb (0.685, 0.500, 0.373) x1
H (0.467, 0.500, 0.932) x1

## Properties
total magnetization	0.00	μB per cell
offset from the most stable computed form	0.02	eV per formula unit
crystal system	monoclinic
raw total energy	-3.074	eV per atom



No. 7
Entry from the Alexandria database: TlSbH after structural relaxation (PBE-GGA).

Unit cell a=5.376 b=3.380 c=8.043 alpha=90.00 beta=90.00 gamma=90.00
Space group Amm2 (No. 38)
Symmetry-distinct sites (fractional):
Tl (0.000, 0.000, 0.000) x2
Sb (0.500, 0.000, 0.663) x2
H (0.500, 0.000, 0.882) x2

## Properties
total magnetization	0.00	μB per cell
offset from the most stable computed form	0.02	eV per formula unit
crystal system	orthorhombic
raw total energy	-3.073	eV per atom



No. 8
Entry from the Alexandria database: Tl3SbH8 after structural relaxation (PBE-GGA).

Unit cell a=8.350 b=8.350 c=6.109 alpha=90.00 beta=90.00 gamma=90.00
Space group I-42m (No. 121)
Symmetry-distinct sites (fractional):
Tl (0.000, 0.000, 0.000) x2
Tl (0.000, 0.500, 0.250) x4
Sb (0.000, 0.000, 0.500) x2
H (0.237, 0.237, 0.184) x8
H (0.240, 0.240, 0.799) x8

## Properties
total magnetization	0.00	μB per cell
crystal system	tetragonal
raw total energy	-2.899	eV per atom



No. 9
Entry from the Alexandria database: Tl5SbH4 after structural relaxation (PBE-GGA).

Unit cell a=6.074 b=6.408 c=6.461 alpha=71.18 beta=71.14 gamma=73.69
Space group P1 (No. 1)
Symmetry-distinct sites (fractional):
Tl (0.000, 0.000, 0.000) x1
Tl (0.107, 0.555, 0.610) x1
Tl (0.358, 0.135, 0.241) x1
Tl (0.596, 0.977, 0.703) x1
Tl (0.794, 0.496, 0.216) x1
Sb (0.571, 0.468, 0.748) x1
H (0.092, 0.678, 0.288) x1
H (0.608, 0.866, 0.109) x1
H (0.687, 0.121, 0.306) x1
H (0.963, 0.866, 0.687) x1

## Properties
total magnetization	0.00	μB per cell
crystal system	triclinic
raw total energy	-2.644	eV per atom



No. 10
Entry from the Alexandria database: Tl4Sb3H4 after structural relaxation (PBE-GGA).

Unit cell a=6.195 b=6.376 c=6.938 alpha=82.32 beta=88.62 gamma=70.81
Space group P-1 (No. 2)
Symmetry-distinct sites (fractional):
Tl (0.040, 0.119, 0.211) x2
Tl (0.415, 0.510, 0.237) x2
Sb (0.247, 0.164, 0.608) x2
Sb (0.500, 0.000, 0.000) x1
H (0.043, 0.406, 0.677) x2
H (0.200, 0.623, 0.918) x2

## Properties
total magnetization	0.00	μB per cell
crystal system	triclinic
raw total energy	-2.946	eV per atom



No. 11
Entry from the Alexandria database: Tm5Sb2H2 after structural relaxation (PBE-GGA).

Unit cell a=11.946 b=5.303 c=6.355 alpha=90.00 beta=103.74 gamma=90.00
Space group C2/m (No. 12)
Symmetry-distinct sites (fractional):
Tm (0.000, 0.000, 0.000) x2
Tm (0.145, 0.000, 0.548) x4
Tm (0.176, 0.500, 0.869) x4
Sb (0.092, 0.500, 0.301) x4
H (0.163, 0.000, 0.892) x4

## Properties
total magnetization	0.00	μB per cell
crystal system	monoclinic
raw total energy	-4.629	eV per atom



No. 12
Entry from the Alexandria database: Tm3Sb2H2 after structural relaxation (PBE-GGA).

Unit cell a=6.141 b=6.918 c=8.159 alpha=90.00 beta=119.43 gamma=90.00
Space group P2_1/c (No. 14)
Symmetry-distinct sites (fractional):
Tm (0.000, 0.000, 0.000) x2
Tm (0.361, 0.061, 0.737) x4
Sb (0.227, 0.685, 0.890) x4
H (0.343, 0.146, 0.151) x4

## Properties
total magnetization	0.00	μB per cell
crystal system	monoclinic
raw total energy	-4.794	eV per atom